## Mg2PaWO8 (GGA+U)

Data for an optimized crystal structure of Mg2PaWO8.

Unit cell a=4.758 b=4.758 c=6.616 alpha=90.00 beta=90.00 gamma=91.68
Positions (direct):
Mg (0.000, 0.000, 0.234)
Mg (0.000, 0.000, 0.766)
Pa (0.500, 0.500, 0.500)
W (0.500, 0.500, 0.000)
O (0.193, 0.193, 0.500)
O (0.211, 0.211, 0.000)
O (0.309, 0.691, 0.223)
O (0.309, 0.691, 0.777)
O (0.691, 0.309, 0.223)
O (0.691, 0.309, 0.777)
O (0.789, 0.789, 0.000)
O (0.807, 0.807, 0.500)

- SG: No. 65
- Total DFT energy (no corrections): -7.53 eV/atom
- Magnetic moment: 0.000 μB/f.u.